# NaMg3Hg3, optimized geometry, DFT PBE-GGA
data_NaMg3Hg3
_space_group_name_H-M_alt 'P m -3 n'
_space_group_IT_number 223
_space_group_name_Hall '-P 4n 2 3'
_cell_length_a 7.761
_cell_length_b 7.761
_cell_length_c 7.761
_cell_angle_alpha 90.00
_cell_angle_beta 90.00
_cell_angle_gamma 90.00
loop_
_atom_site_label
_atom_site_fract_x
_atom_site_fract_y
_atom_site_fract_z
Na1 0.000 0.000 0.000
Mg1 0.000 0.250 0.500
Hg1 0.000 0.500 0.250
# - calculated volume (Å³ per cell) = 467.4
# - M_tot (μB/f.u.) = 0.0
# - Fermi-level density of states (states/eV per atom) = 0.325
# - energy of formation from the pure elements (eV/atom) = 0.0935



# Na4MgHg5, optimized geometry, DFT PBE-GGA
data_Na4MgHg5
_space_group_name_H-M_alt 'P 4/m m m'
_space_group_IT_number 123
_space_group_name_Hall '-P 4 2'
_cell_length_a 3.556
_cell_length_b 3.556
_cell_length_c 19.613
_cell_angle_alpha 90.00
_cell_angle_beta 90.00
_cell_angle_gamma 90.00
loop_
_atom_site_label
_atom_site_fract_x
_atom_site_fract_y
_atom_site_fract_z
Na1 0.000 0.000 0.102
Na2 0.000 0.000 0.309
Mg1 0.000 0.000 0.500
Hg1 0.500 0.500 0.000
Hg2 0.500 0.500 0.204
Hg3 0.500 0.500 0.411
# - calculated volume (Å³ per cell) = 248.0
# - M_tot (μB/f.u.) = 0.0
# - Fermi-level density of states (states/eV per atom) = 0.381
# - energy of formation from the pure elements (eV/atom) = -0.2358



# NaMg2Hg5, optimized geometry, DFT PBE-GGA
data_NaMg2Hg5
_space_group_name_H-M_alt 'I 4/m m m'
_space_group_IT_number 139
_space_group_name_Hall '-I 4 2'
_cell_length_a 4.776
_cell_length_b 4.776
_cell_length_c 16.309
_cell_angle_alpha 90.00
_cell_angle_beta 90.00
_cell_angle_gamma 90.00
loop_
_atom_site_label
_atom_site_fract_x
_atom_site_fract_y
_atom_site_fract_z
Na1 0.000 0.000 0.000
Mg1 0.000 0.000 0.250
Hg1 0.000 0.000 0.500
Hg2 0.000 0.500 0.135
# - calculated volume (Å³ per cell) = 372.0
# - M_tot (μB/f.u.) = 0.0
# - Fermi-level density of states (states/eV per atom) = 0.270
# - energy of formation from the pure elements (eV/atom) = -0.1768



# Na2Mg2Hg, optimized geometry, DFT PBE-GGA
data_Na2Mg2Hg
_space_group_name_H-M_alt 'I 4/m m m'
_space_group_IT_number 139
_space_group_name_Hall '-I 4 2'
_cell_length_a 4.103
_cell_length_b 4.103
_cell_length_c 16.560
_cell_angle_alpha 90.00
_cell_angle_beta 90.00
_cell_angle_gamma 90.00
loop_
_atom_site_label
_atom_site_fract_x
_atom_site_fract_y
_atom_site_fract_z
Na1 0.000 0.500 0.250
Mg1 0.000 0.000 0.088
Hg1 0.000 0.000 0.500
# - calculated volume (Å³ per cell) = 278.8
# - M_tot (μB/f.u.) = 0.0
# - polymorph energy (0 for the lowest one) (meV/atom) = 162
# - Fermi-level density of states (states/eV per atom) = 0.550
# - energy of formation from the pure elements (eV/atom) = 0.1580



# Na12MgHg6, optimized geometry, DFT PBE-GGA
data_Na12MgHg6
_space_group_name_H-M_alt 'R -3'
_space_group_IT_number 148
_space_group_name_Hall '-R 3'
_cell_length_a 11.2338
_cell_length_b 11.2338
_cell_length_c 14.6487
_cell_angle_alpha 90.00
_cell_angle_beta 90.00
_cell_angle_gamma 120.00
loop_
_atom_site_label
_atom_site_fract_x
_atom_site_fract_y
_atom_site_fract_z
Na1 0.0359 0.1931 0.3138
Na2 0.0582 0.8369 0.9132
Mg1 0.0000 0.0000 0.5000
Hg1 0.0361 0.4421 0.2082
# - calculated volume (Å³ per cell) = 1601.0
# - M_tot (μB/f.u.) = 0.0
# - polymorph energy (0 for the lowest one) (meV/atom) = 0
# - Fermi-level density of states (states/eV per atom) = 0.384
# - energy of formation from the pure elements (eV/atom) = -0.1625



# Na3MgHg8, optimized geometry, DFT PBE-GGA
data_Na3MgHg8
_space_group_name_H-M_alt 'C 1 m 1'
_space_group_IT_number 8
_space_group_name_Hall 'C -2y'
_cell_length_a 11.329
_cell_length_b 10.825
_cell_length_c 5.577
_cell_angle_alpha 90.00
_cell_angle_beta 119.43
_cell_angle_gamma 90.00
loop_
_atom_site_label
_atom_site_fract_x
_atom_site_fract_y
_atom_site_fract_z
Na1 0.000 0.000 0.000
Na2 0.177 0.256 0.341
Mg1 0.147 0.500 0.739
Hg1 0.005 0.255 0.668
Hg2 0.012 0.500 0.095
Hg3 0.174 0.000 0.687
Hg4 0.327 0.000 0.359
Hg5 0.337 0.262 0.990
Hg6 0.342 0.500 0.361
# - calculated volume (Å³ per cell) = 595.7
# - M_tot (μB/f.u.) = 0.0
# - Fermi-level density of states (states/eV per atom) = 0.332
# - energy of formation from the pure elements (eV/atom) = -0.1775



# Na12MgHg6, optimized geometry, DFT PBE-GGA
data_Na12MgHg6
_space_group_name_H-M_alt 'R -3'
_space_group_IT_number 148
_space_group_name_Hall '-R 3'
_cell_length_a 14.8924
_cell_length_b 14.8924
_cell_length_c 8.2824
_cell_angle_alpha 90.00
_cell_angle_beta 90.00
_cell_angle_gamma 120.00
loop_
_atom_site_label
_atom_site_fract_x
_atom_site_fract_y
_atom_site_fract_z
Na1 0.0048 0.1419 0.1607
Na2 0.0617 0.5604 0.1815
Mg1 0.0000 0.0000 0.5000
Hg1 0.0249 0.2746 0.8214
# - calculated volume (Å³ per cell) = 1590.8
# - M_tot (μB/f.u.) = 0.0
# - polymorph energy (0 for the lowest one) (meV/atom) = 28
# - Fermi-level density of states (states/eV per atom) = 0.345
# - energy of formation from the pure elements (eV/atom) = -0.1342



# Na2MgHg7, optimized geometry, DFT PBE-GGA
data_Na2MgHg7
_space_group_name_H-M_alt 'P 3 m 1'
_space_group_IT_number 156
_space_group_name_Hall 'P 3 -2"'
_cell_length_a 4.9745
_cell_length_b 4.9745
_cell_length_c 12.7007
_cell_angle_alpha 90.00
_cell_angle_beta 90.00
_cell_angle_gamma 120.00
loop_
_atom_site_label
_atom_site_fract_x
_atom_site_fract_y
_atom_site_fract_z
Na1 0.0000 0.0000 0.0000
Na2 0.3333 0.6667 0.5988
Mg1 0.6667 0.3333 0.4094
Hg1 0.0000 0.0000 0.2382
Hg2 0.0000 0.0000 0.4930
Hg3 0.0000 0.0000 0.7564
Hg4 0.3333 0.6667 0.3476
Hg5 0.3333 0.6667 0.8751
Hg6 0.6667 0.3333 0.1340
Hg7 0.6667 0.3333 0.6657
# - calculated volume (Å³ per cell) = 272.2
# - M_tot (μB/f.u.) = 0.0
# - Fermi-level density of states (states/eV per atom) = 0.213
# - energy of formation from the pure elements (eV/atom) = -0.1305



# Na3MgHg2, optimized geometry, DFT PBE-GGA
data_Na3MgHg2
_space_group_name_H-M_alt 'P m c 21'
_space_group_IT_number 26
_space_group_name_Hall 'P 2c -2'
_cell_length_a 4.918
_cell_length_b 9.771
_cell_length_c 6.501
_cell_angle_alpha 90.00
_cell_angle_beta 90.00
_cell_angle_gamma 90.00
loop_
_atom_site_label
_atom_site_fract_x
_atom_site_fract_y
_atom_site_fract_z
Na1 0.000 0.040 0.000
Na2 0.000 0.313 0.410
Na3 0.500 0.193 0.749
Mg1 0.500 0.459 0.134
Hg1 0.000 0.376 0.894
Hg2 0.500 0.147 0.259
# - calculated volume (Å³ per cell) = 312.4
# - M_tot (μB/f.u.) = 0.0
# - Fermi-level density of states (states/eV per atom) = 0.335
# - energy of formation from the pure elements (eV/atom) = -0.1658



# Na3Mg7Hg4, optimized geometry, DFT PBE-GGA
data_Na3Mg7Hg4
_space_group_name_H-M_alt 'C 1 2/m 1'
_space_group_IT_number 12
_space_group_name_Hall '-C 2y'
_cell_length_a 16.816
_cell_length_b 4.744
_cell_length_c 10.769
_cell_angle_alpha 90.00
_cell_angle_beta 125.37
_cell_angle_gamma 90.00
loop_
_atom_site_label
_atom_site_fract_x
_atom_site_fract_y
_atom_site_fract_z
Na1 0.000 0.000 0.000
Na2 0.196 0.500 0.706
Mg1 0.000 0.000 0.500
Mg2 0.011 0.500 0.315
Mg3 0.162 0.000 0.425
Mg4 0.182 0.500 0.017
Hg1 0.108 0.000 0.827
Hg2 0.160 0.500 0.261
# - calculated volume (Å³ per cell) = 700.5
# - M_tot (μB/f.u.) = 0.0
# - Fermi-level density of states (states/eV per atom) = 0.376
# - energy of formation from the pure elements (eV/atom) = -0.1412



# NaMg6Hg4, optimized geometry, DFT PBE-GGA
data_NaMg6Hg4
_space_group_name_H-M_alt 'P -6 m 2'
_space_group_IT_number 187
_space_group_name_Hall 'P -6 2'
_cell_length_a 8.9555
_cell_length_b 8.9555
_cell_length_c 3.7069
_cell_angle_alpha 90.00
_cell_angle_beta 90.00
_cell_angle_gamma 120.00
loop_
_atom_site_label
_atom_site_fract_x
_atom_site_fract_y
_atom_site_fract_z
Na1 0.0000 0.0000 0.0000
Mg1 0.1931 0.3861 0.5000
Mg2 0.5291 0.0583 0.0000
Hg1 0.3333 0.6667 0.0000
Hg2 0.3550 0.1775 0.5000
# - calculated volume (Å³ per cell) = 257.5
# - M_tot (μB/f.u.) = 0.0
# - Fermi-level density of states (states/eV per atom) = 0.352
# - energy of formation from the pure elements (eV/atom) = -0.1909



# NaMg2Hg7, optimized geometry, DFT PBE-GGA
data_NaMg2Hg7
_space_group_name_H-M_alt 'C m m m'
_space_group_IT_number 65
_space_group_name_Hall '-C 2 2'
_cell_length_a 8.211
_cell_length_b 14.992
_cell_length_c 4.864
_cell_angle_alpha 90.00
_cell_angle_beta 90.00
_cell_angle_gamma 90.00
loop_
_atom_site_label
_atom_site_fract_x
_atom_site_fract_y
_atom_site_fract_z
Na1 0.000 0.000 0.000
Mg1 0.000 0.305 0.500
Hg1 0.000 0.212 0.000
Hg2 0.000 0.500 0.500
Hg3 0.186 0.115 0.500
# - calculated volume (Å³ per cell) = 598.7
# - M_tot (μB/f.u.) = 0.0
# - polymorph energy (0 for the lowest one) (meV/atom) = 64
# - Fermi-level density of states (states/eV per atom) = 0.406
# - energy of formation from the pure elements (eV/atom) = -0.0258